Entry 1:
# Hf2PPdF

A relaxed structure of Hf2PPdF (PBEsol, Alexandria).

## Properties
Its energy relative to the elements, uncorrected is -4.66 kcal/mol of atoms. Its total DFT energy (no corrections) is -7.14 eV/atom. As for the crystal system: tetragonal. The volume is 20.0 A^3/atom.

a = 4.8092 Å, b = 4.8092 Å, c = 4.3197 Å
α = 90.00°, β = 90.00°, γ = 90.00°
With the nearest neighbours (Å) after each atom.
Space group P4/mmm (No. 123)
Asymmetric unit:
Hf: 0.0000 0.5000 0.0000  2 P 2.40
P: 0.0000 0.0000 0.0000  2 Pd 2.16, 4 Hf 2.40
Pd: 0.0000 0.0000 0.5000  2 P 2.16
F: 0.5000 0.5000 0.5000  8 Hf 3.23, 4 Pd 3.40



Entry 2:
# HfP2SF

A relaxed structure of HfP2SF (PBEsol, Alexandria).

## Properties
Its energy relative to the elements, uncorrected is -2.29 kcal/mol of atoms. Its total DFT energy (no corrections) is -5.78 eV/atom. As for the crystal system: tetragonal. The volume is 15.4 A^3/atom.

a = 3.9310 Å, b = 3.9310 Å, c = 4.9908 Å
α = 90.00°, β = 90.00°, γ = 90.00°
With the nearest neighbours (Å) after each atom.
Space group P4/mmm (No. 123)
Asymmetric unit:
Hf: 0.0000 0.0000 0.0000  4 S 2.78
P: 0.0000 0.5000 0.5000  2 F 1.97
S: 0.5000 0.5000 0.0000  2 F 2.50, 4 Hf 2.78
F: 0.5000 0.5000 0.5000  4 P 1.97



Entry 3:
# HfPS2F

A relaxed structure of HfPS2F (PBEsol, Alexandria).

## Properties
Its energy relative to the elements, uncorrected is -0.45 kcal/mol of atoms. Its total DFT energy (no corrections) is -5.42 eV/atom. As for the crystal system: tetragonal. The volume is 15.6 A^3/atom.

a = 4.5630 Å, b = 4.5630 Å, c = 3.7482 Å
α = 90.00°, β = 90.00°, γ = 90.00°
With the nearest neighbours (Å) after each atom.
Space group P4/mmm (No. 123)
Asymmetric unit:
Hf: 0.0000 0.0000 0.0000  8 S 2.95, 4 P 3.23
P: 0.5000 0.5000 0.0000  2 F 1.87
S: 0.0000 0.5000 0.5000  2 F 2.28
F: 0.5000 0.5000 0.5000  2 P 1.87



Entry 4:
# HfPtF2

A relaxed structure of HfPtF2 (PBEsol, Alexandria).

## Properties
Its energy relative to the elements, uncorrected is -26.76 kcal/mol of atoms. Its total DFT energy (no corrections) is -6.49 eV/atom. As for the crystal system: trigonal. The volume is 17.9 A^3/atom. The energy above the lowest structure with this stoichiometry comes out at 0.5064 eV per atom.

a = 2.8856 Å, b = 2.8856 Å, c = 29.8579 Å
α = 90.00°, β = 90.00°, γ = 120.00°
With the nearest neighbours (Å) after each atom.
Space group R-3m (No. 166, hexagonal axes)
Asymmetric unit:
Hf: 0.0000 0.0000 0.0000  2 F 1.90
Pt: 0.0000 0.0000 0.5000  6 Pt 2.89
F: 0.0000 0.0000 0.0636  1 Hf 1.90



Entry 5:
# HfPtF2

A relaxed structure of HfPtF2 (PBEsol, Alexandria).

## Properties
Its energy relative to the elements, uncorrected is -38.44 kcal/mol of atoms. Its total DFT energy (no corrections) is -7.00 eV/atom. As for the crystal system: tetragonal. The volume is 14.5 A^3/atom. The energy above the lowest structure with this stoichiometry comes out at 0.0000 eV per atom.

a = 4.0211 Å, b = 4.0211 Å, c = 14.3566 Å
α = 90.00°, β = 90.00°, γ = 90.00°
With the nearest neighbours (Å) after each atom.
Space group I-42d (No. 122)
Asymmetric unit:
Hf: 0.0000 0.0000 0.0000  4 F 2.11
Pt: 0.0000 0.0000 0.5000  4 F 2.57, 4 Hf 2.84
F: 0.1184 0.2500 0.1250  2 Hf 2.11, 2 F 2.22



Entry 6:
# Rb2HfF6

A relaxed structure of Rb2HfF6 (PBEsol, Alexandria).

## Properties
Its energy relative to the elements, uncorrected is -80.22 kcal/mol of atoms. Its total DFT energy (no corrections) is -6.16 eV/atom. As for the crystal system: trigonal. The volume is 16.9 A^3/atom.

a = 6.0616 Å, b = 6.0616 Å, c = 4.7812 Å
α = 90.00°, β = 90.00°, γ = 120.00°
With the nearest neighbours (Å) after each atom.
Space group P-3m1 (No. 164)
Asymmetric unit:
Rb: 0.3333 0.6667 0.3068  12 F 2.88-3.15
Hf: 0.0000 0.0000 0.0000  6 F 1.99
F: 0.1585 0.3170 0.7705  1 Hf 1.99